[1]
# SrRh2, relaxed, DFT GGA-PBE
data_SrRh2
_chemical_formula_sum 'Sr4 Rh8'
_space_group_name_H-M_alt 'C m c m'
_space_group_IT_number 63
_space_group_name_Hall '-C 2c 2'
_cell_length_a 4.880
_cell_length_b 15.835
_cell_length_c 3.002
_cell_angle_alpha 90.00
_cell_angle_beta 90.00
_cell_angle_gamma 90.00
loop_
_atom_site_label
_atom_site_fract_x
_atom_site_fract_y
_atom_site_fract_z
Sr1 0.000 0.107 0.250
Rh1 0.000 0.272 0.750
Rh2 0.000 0.431 0.250
# Energy relative to the elements ... 152 meV/atom
# E ... -5.310 eV per atom
# Theoretical density ... 8.4 g cm⁻³

[2]
# Y5Er2Th4, relaxed, DFT GGA-PBE
data_Y5Er2Th4
_chemical_formula_sum 'Y10 Er4 Th8'
_space_group_name_H-M_alt 'C 1 2/m 1'
_space_group_IT_number 12
_space_group_name_Hall '-C 2y'
_cell_length_a 16.764
_cell_length_b 6.660
_cell_length_c 6.573
_cell_angle_alpha 90.00
_cell_angle_beta 98.94
_cell_angle_gamma 90.00
loop_
_atom_site_label
_atom_site_fract_x
_atom_site_fract_y
_atom_site_fract_z
Y1 0.000 0.000 0.000
Y2 0.087 0.260 0.408
Er1 0.198 0.000 0.821
Th1 0.095 0.500 0.911
Th2 0.248 0.000 0.336
# Distance to the lowest polymorph of the same formula ... 185 meV per atom
# Energy relative to the elements ... 208 meV/atom
# E ... -6.258 eV per atom
# Theoretical density ... 7.8 g cm⁻³

[3]
# SrScGa2Ir, relaxed, DFT GGA-PBE
data_SrScGa2Ir
_chemical_formula_sum 'Sr1 Sc1 Ga2 Ir1'
_space_group_name_H-M_alt 'P 4/m m m'
_space_group_IT_number 123
_space_group_name_Hall '-P 4 2'
_cell_length_a 4.923
_cell_length_b 4.923
_cell_length_c 5.014
_cell_angle_alpha 90.00
_cell_angle_beta 90.00
_cell_angle_gamma 90.00
loop_
_atom_site_label
_atom_site_fract_x
_atom_site_fract_y
_atom_site_fract_z
Sr1 0.000 0.000 0.000
Sc1 0.500 0.500 0.000
Ga1 0.000 0.500 0.500
Ir1 0.500 0.500 0.500
# Energy relative to the elements ... -369 meV/atom
# E ... -4.955 eV per atom
# Theoretical density ... 6.3 g cm⁻³

[4]
# Pm2Dy3Hg2, relaxed, DFT GGA-PBE
data_Pm2Dy3Hg2
_chemical_formula_sum 'Pm6 Dy9 Hg6'
_space_group_name_H-M_alt 'R -3 m'
_space_group_IT_number 166
_space_group_name_Hall '-R 3 2"'
_cell_length_a 5.4191
_cell_length_b 5.4191
_cell_length_c 23.9806
_cell_angle_alpha 90.00
_cell_angle_beta 90.00
_cell_angle_gamma 120.00
loop_
_atom_site_label
_atom_site_fract_x
_atom_site_fract_y
_atom_site_fract_z
Pm1 0.0000 0.0000 0.0755
Dy1 0.0000 0.0000 0.3423
Dy2 0.0000 0.0000 0.5000
Hg1 0.0000 0.0000 0.2137
# Distance to the lowest polymorph of the same formula ... 0 meV per atom
# Energy relative to the elements ... -236 meV/atom
# E ... -3.652 eV per atom
# Theoretical density ... 9.6 g cm⁻³